(1)
Below is an optimized crystal structure of BaAlH5, with properties calculated at the GGA-PBEsol level.

Summary:
Total energy = -3.59 eV per atom

abc: 8.908 6.918 5.001
angles: 90.00 90.00 90.00
Positions (direct):
Ba: 0.187 0.154 0.000
Ba: 0.313 0.654 0.500
Ba: 0.687 0.346 0.000
Ba: 0.813 0.846 0.500
Al: 0.041 0.655 0.026
Al: 0.459 0.155 0.526
Al: 0.541 0.845 0.026
Al: 0.959 0.345 0.526
H: 0.011 0.560 0.358
H: 0.077 0.792 0.747
H: 0.084 0.848 0.237
H: 0.148 0.305 0.523
H: 0.212 0.542 0.036
H: 0.288 0.042 0.536
H: 0.352 0.805 0.023
H: 0.416 0.348 0.737
H: 0.423 0.292 0.247
H: 0.489 0.060 0.858
H: 0.511 0.940 0.358
H: 0.577 0.708 0.747
H: 0.584 0.652 0.237
H: 0.648 0.195 0.523
H: 0.712 0.958 0.036
H: 0.788 0.458 0.536
H: 0.852 0.695 0.023
H: 0.916 0.152 0.737
H: 0.923 0.208 0.247
H: 0.989 0.440 0.858



(2)
Below is an optimized crystal structure of Li2Ti3CrO8, with properties calculated at the GGA-PBEsol level.

Summary:
Formation energy without anion corrections = -2.6969 eV/atom

abc: 5.829 5.829 5.829
angles: 60.91 60.91 60.91
Positions (direct):
Li: 0.124 0.124 0.124
Li: 0.876 0.876 0.876
Ti: 0.000 0.500 0.500
Ti: 0.500 0.000 0.500
Ti: 0.500 0.500 0.000
Cr: 0.500 0.500 0.500
O: 0.261 0.261 0.261
O: 0.262 0.262 0.714
O: 0.262 0.714 0.262
O: 0.286 0.738 0.738
O: 0.714 0.262 0.262
O: 0.738 0.286 0.738
O: 0.738 0.738 0.286
O: 0.739 0.739 0.739



(3)
Below is an optimized crystal structure of Sr5Ir3O11, with properties calculated at the GGA-PBEsol level.

Summary:
Formation energy without anion corrections = -1.8577 eV/atom

abc: 3.915 3.915 16.546
angles: 90.11 90.11 90.05
Positions (direct):
Sr: 0.000 0.000 0.000
Sr: 0.496 0.502 0.390
Sr: 0.498 0.504 0.610
Sr: 0.995 0.001 0.231
Sr: 0.999 0.005 0.769
Ir: 0.497 0.497 0.123
Ir: 0.503 0.503 0.877
Ir: 0.997 0.003 0.500
O: 0.004 0.520 0.887
O: 0.480 0.996 0.113
O: 0.494 0.502 0.245
O: 0.497 0.003 0.873
O: 0.497 0.004 0.500
O: 0.498 0.506 0.755
O: 0.532 0.468 0.000
O: 0.996 0.002 0.376
O: 0.996 0.503 0.500
O: 0.997 0.503 0.127
O: 0.998 0.004 0.624



(4)
Below is an optimized crystal structure of ZnNi2Rh, with properties calculated at the GGA-PBEsol level.

Summary:
Energy of formation from the pure elements = -112 meV/atom

abc: 4.385 4.385 4.385
angles: 130.70 130.70 72.29
Positions (direct):
Zn: 0.000 0.000 0.000
Ni: 0.500 0.500 0.000
Ni: 0.750 0.250 0.500
Rh: 0.250 0.750 0.500